Record 1
! Cu2I GGA-PBE relaxed; values from VASP
&SYSTEM
  ibrav = 0, nat = 6, ntyp = 2
/
ATOMIC_SPECIES
Cu 63.55 Cu.upf
I 126.90 I.upf
CELL_PARAMETERS angstrom
0.0000 3.7842 3.7842
3.7842 0.0000 3.7842
3.7842 3.7842 0.0000
ATOMIC_POSITIONS crystal
Cu 0.0000 0.0000 0.0000
Cu 0.0000 0.0000 0.5000
Cu 0.0000 0.5000 0.0000
Cu 0.5000 0.0000 0.0000
I 0.3750 0.3750 0.3750
I 0.6250 0.6250 0.6250
! Energy relative to the lowest polymorph listed for this composition: 0.0 kJ/mol of atoms


Record 2
! Cu5I6 GGA-PBE relaxed; values from VASP
&SYSTEM
  ibrav = 0, nat = 11, ntyp = 2
/
ATOMIC_SPECIES
Cu 63.55 Cu.upf
I 126.90 I.upf
CELL_PARAMETERS angstrom
6.6810 -2.9858 0.0000
6.6810 2.9858 0.0000
-2.6672 0.0000 8.0097
ATOMIC_POSITIONS crystal
Cu 0.0000 0.0000 0.0000
Cu 0.3137 0.3528 0.6609
Cu 0.3223 0.3484 0.1720
Cu 0.6472 0.6863 0.3391
Cu 0.6516 0.6777 0.8280
I 0.2305 0.7690 0.2575
I 0.2310 0.7695 0.7425
I 0.5702 0.0978 0.9160
I 0.5820 0.0933 0.4190
I 0.9022 0.4298 0.0840
I 0.9067 0.4180 0.5810
! Total DFT energy (no corrections): -2.71 eV per atom


Record 3
! CuI7 GGA-PBE relaxed; values from VASP
&SYSTEM
  ibrav = 0, nat = 16, ntyp = 2
/
ATOMIC_SPECIES
Cu 63.55 Cu.upf
I 126.90 I.upf
CELL_PARAMETERS angstrom
8.3968 0.0000 0.0000
2.1822 8.3738 0.0000
1.0176 0.0428 10.7472
ATOMIC_POSITIONS crystal
Cu 0.1933 0.1431 0.1427
Cu 0.8067 0.8569 0.8573
I 0.0564 0.7388 0.5499
I 0.0755 0.1947 0.7045
I 0.1082 0.6924 0.8056
I 0.2250 0.8432 0.1519
I 0.3856 0.2785 0.0116
I 0.3929 0.2534 0.2955
I 0.4099 0.2442 0.5622
I 0.5901 0.7558 0.4378
I 0.6071 0.7466 0.7045
I 0.6144 0.7215 0.9884
I 0.7750 0.1568 0.8481
I 0.8918 0.3076 0.1944
I 0.9245 0.8053 0.2955
I 0.9436 0.2612 0.4501
! Total DFT energy (no corrections): -1.83 eV per atom


Record 4
! Cu2I GGA-PBE relaxed; values from VASP
&SYSTEM
  ibrav = 0, nat = 6, ntyp = 2
/
ATOMIC_SPECIES
Cu 63.55 Cu.upf
I 126.90 I.upf
CELL_PARAMETERS angstrom
0.0000 5.9154 5.9154
5.9154 0.0000 5.9154
5.9154 5.9154 0.0000
ATOMIC_POSITIONS crystal
Cu 0.0000 0.0000 0.0000
Cu 0.0000 0.0000 0.5000
Cu 0.0000 0.5000 0.0000
Cu 0.5000 0.0000 0.0000
I 0.1250 0.1250 0.1250
I 0.8750 0.8750 0.8750
! Energy relative to the lowest polymorph listed for this composition: 40.0 kJ/mol of atoms


Record 5
! Cu2I5 GGA-PBE relaxed; values from VASP
&SYSTEM
  ibrav = 0, nat = 7, ntyp = 2
/
ATOMIC_SPECIES
Cu 63.55 Cu.upf
I 126.90 I.upf
CELL_PARAMETERS angstrom
5.3704 0.0000 0.0000
-0.9847 6.8148 0.0000
-1.8061 -1.9125 6.8206
ATOMIC_POSITIONS crystal
Cu 0.0000 0.0000 0.0000
Cu 0.0000 0.5000 0.5000
I 0.0883 0.3197 0.8892
I 0.2325 0.8719 0.7226
I 0.5000 0.5000 0.5000
I 0.7675 0.1281 0.2774
I 0.9117 0.6803 0.1108
! Total DFT energy (no corrections): -2.17 eV per atom


Record 6
! Cu2I3 GGA-PBE relaxed; values from VASP
&SYSTEM
  ibrav = 0, nat = 10, ntyp = 2
/
ATOMIC_SPECIES
Cu 63.55 Cu.upf
I 126.90 I.upf
CELL_PARAMETERS angstrom
3.5049 2.0236 6.4722
-3.5049 2.0236 6.4722
0.0000 -4.0471 6.4722
ATOMIC_POSITIONS crystal
Cu 0.1483 0.1483 0.1483
Cu 0.3517 0.3517 0.3517
Cu 0.6483 0.6483 0.6483
Cu 0.8517 0.8517 0.8517
I 0.0643 0.7500 0.4357
I 0.2500 0.5643 0.9357
I 0.4357 0.0643 0.7500
I 0.5643 0.9357 0.2500
I 0.7500 0.4357 0.0643
I 0.9357 0.2500 0.5643
! Energy relative to the lowest polymorph listed for this composition: 14.9 kJ/mol of atoms


Record 7
! Cu2I3 GGA-PBE relaxed; values from VASP
&SYSTEM
  ibrav = 0, nat = 5, ntyp = 2
/
ATOMIC_SPECIES
Cu 63.55 Cu.upf
I 126.90 I.upf
CELL_PARAMETERS angstrom
-2.0586 6.2742 2.9803
2.0586 -6.2742 2.9803
2.0586 6.2742 -2.9803
ATOMIC_POSITIONS crystal
Cu 0.1632 0.0000 0.1632
Cu 0.8368 0.0000 0.8368
I 0.2551 0.2551 0.0000
I 0.5740 0.2361 0.3379
I 0.8983 0.2361 0.6621
! Energy relative to the lowest polymorph listed for this composition: 0.0 kJ/mol of atoms


Record 8
! Cu3I4 GGA-PBE relaxed; values from VASP
&SYSTEM
  ibrav = 0, nat = 7, ntyp = 2
/
ATOMIC_SPECIES
Cu 63.55 Cu.upf
I 126.90 I.upf
CELL_PARAMETERS angstrom
-2.9686 2.9686 5.9402
2.9686 -2.9686 5.9402
2.9686 2.9686 -5.9402
ATOMIC_POSITIONS crystal
Cu 0.0000 0.0000 0.0000
Cu 0.2500 0.7500 0.5000
Cu 0.7500 0.2500 0.5000
I 0.1341 0.1341 0.5122
I 0.3781 0.8659 0.0000
I 0.6219 0.6219 0.4878
I 0.8659 0.3781 0.0000
! Total DFT energy (no corrections): -2.66 eV per atom


Record 9
! Cu2I GGA-PBE relaxed; values from VASP
&SYSTEM
  ibrav = 0, nat = 6, ntyp = 2
/
ATOMIC_SPECIES
Cu 63.55 Cu.upf
I 126.90 I.upf
CELL_PARAMETERS angstrom
6.0444 0.0000 0.0000
0.0000 6.0444 0.0000
0.0000 0.0000 4.1693
ATOMIC_POSITIONS crystal
Cu 0.1967 0.1967 0.0000
Cu 0.3033 0.6967 0.5000
Cu 0.6967 0.3033 0.5000
Cu 0.8033 0.8033 0.0000
I 0.0000 0.0000 0.5000
I 0.5000 0.5000 0.0000
! Energy relative to the lowest polymorph listed for this composition: 24.0 kJ/mol of atoms


Record 10
! KRb2CuI6 GGA-PBE relaxed; values from VASP
&SYSTEM
  ibrav = 0, nat = 10, ntyp = 4
/
ATOMIC_SPECIES
K 39.10 K.upf
Rb 85.47 Rb.upf
Cu 63.55 Cu.upf
I 126.90 I.upf
CELL_PARAMETERS angstrom
-4.0167 4.0167 7.0880
4.0167 -4.0167 7.0880
4.0167 4.0167 -7.0880
ATOMIC_POSITIONS crystal
K 0.0000 0.0000 0.0000
Rb 0.2500 0.7500 0.5000
Rb 0.7500 0.2500 0.5000
Cu 0.5000 0.5000 0.0000
I 0.1901 0.5778 0.7679
I 0.2410 0.2410 0.0000
I 0.4222 0.1901 0.6123
I 0.5778 0.8099 0.3877
I 0.7590 0.7590 0.0000
I 0.8099 0.4222 0.2321
! Total DFT energy (no corrections): -2.46 eV per atom


Record 11
! LiCu2I4 GGA-PBE relaxed; values from VASP
&SYSTEM
  ibrav = 0, nat = 7, ntyp = 3
/
ATOMIC_SPECIES
Li 6.94 Li.upf
Cu 63.55 Cu.upf
I 126.90 I.upf
CELL_PARAMETERS angstrom
5.9365 0.0000 0.0000
0.0000 5.9365 0.0000
0.0000 0.0000 6.4293
ATOMIC_POSITIONS crystal
Li 0.0000 0.0000 0.0000
Cu 0.0000 0.5000 0.5000
Cu 0.5000 0.0000 0.5000
I 0.2573 0.2573 0.2623
I 0.2573 0.7427 0.7377
I 0.7427 0.2573 0.7377
I 0.7427 0.7427 0.2623
! Total DFT energy (no corrections): -2.66 eV per atom


Record 12
! Nd2Cu2I GGA-PBE relaxed; values from VASP
&SYSTEM
  ibrav = 0, nat = 5, ntyp = 3
/
ATOMIC_SPECIES
Nd 144.24 Nd.upf
Cu 63.55 Cu.upf
I 126.90 I.upf
CELL_PARAMETERS angstrom
4.2104 0.0000 0.0000
-2.1052 3.6463 0.0000
0.0000 0.0000 8.5351
ATOMIC_POSITIONS crystal
Nd 0.0000 0.0000 0.2120
Nd 0.0000 0.0000 0.7880
Cu 0.3333 0.6667 0.0000
Cu 0.6667 0.3333 0.0000
I 0.6667 0.3333 0.5000
! Spin magnetization: 0.0027 μB/atom
! Total DFT energy (no corrections): -4.26 eV per atom


Record 13
! Nd2CuSiI2 GGA-PBE relaxed; values from VASP
&SYSTEM
  ibrav = 0, nat = 6, ntyp = 4
/
ATOMIC_SPECIES
Nd 144.24 Nd.upf
Cu 63.55 Cu.upf
Si 28.09 Si.upf
I 126.90 I.upf
CELL_PARAMETERS angstrom
4.2126 0.0000 0.0000
-2.1063 3.6482 0.0000
0.0000 0.0000 12.2834
ATOMIC_POSITIONS crystal
Nd 0.0000 0.0000 0.0000
Nd 0.0000 0.0000 0.3206
Cu 0.3333 0.6667 0.1555
Si 0.6667 0.3333 0.1661
I 0.3333 0.6667 0.4928
I 0.6667 0.3333 0.8267
! Spin magnetization: 0.1563 μB/atom
! Total DFT energy (no corrections): -4.66 eV per atom